VASP calculation (PBE with a Hubbard U) on a relaxed structure of ReNiO2.

Calculated values
- N(E_F): 0.50 states/eV per atom
- Spin magnetization: 0.457 μB/atom
- Energy above the most stable polymorph in this dataset: 0 kJ/mol of formula units
- Space group: No. 166
- Volume: 44 Å³ per cell

a = 6.4408 Å, b = 6.4408 Å, c = 6.4408 Å
α = 25.65°, β = 25.65°, γ = 25.65°
Closest atoms and distances in Å follow each position.
Element x y z (fractional)
O  0.8971  0.8971  0.8971  1 Re 1.92, 3 Ni 2.04
O  0.1029  0.1029  0.1029  1 Re 1.92, 3 Ni 2.04
Ni  0.5000  0.5000  0.5000  6 O 2.04
Re  0.0000  0.0000  0.0000  2 O 1.92